# CsK2LiSn | the Alexandria database | GGA-PBE | relaxed
data_CsK2LiSn
_symmetry_space_group_name_H-M 'P 4/m m m'
_symmetry_Int_Tables_number 123
_symmetry_space_group_name_Hall '-P 4 2'
_cell_length_a 6.522
_cell_length_b 6.522
_cell_length_c 5.346
_cell_angle_alpha 90.00
_cell_angle_beta 90.00
_cell_angle_gamma 90.00
loop_
_atom_site_label
_atom_site_type_symbol
_atom_site_fract_x
_atom_site_fract_y
_atom_site_fract_z
Cs1 Cs 0.000 0.000 0.000
K1 K 0.000 0.500 0.500
Li1 Li 0.500 0.500 0.500
Sn1 Sn 0.500 0.500 0.000
# - Crystal system: tetragonal
# - ΔE to the lowest computed polymorph: 11 meV/atom
# - DOS(E_F): 2.658 states/eV/cell
# - Energy of formation: -0.0325 eV/atom
# - Size of the total moment: 0.000 μB per cell

***

# CeB2H6 | the Alexandria database | GGA-PBE | relaxed
data_CeB2H6
_symmetry_space_group_name_H-M 'C 1 2/m 1'
_symmetry_Int_Tables_number 12
_cell_length_a 8.126
_cell_length_b 3.033
_cell_length_c 7.288
_cell_angle_alpha 90.00
_cell_angle_beta 106.48
_cell_angle_gamma 90.00
loop_
_symmetry_equiv_pos_as_xyz
'x,y,z'
'-x,-y,-z'
'-x,y,-z'
'x,-y,z'
'x+1/2,y+1/2,z'
'-x+1/2,-y+1/2,-z'
'-x+1/2,y+1/2,-z'
'x+1/2,-y+1/2,z'
loop_
_atom_site_label
_atom_site_type_symbol
_atom_site_fract_x
_atom_site_fract_y
_atom_site_fract_z
Ce1 Ce 0.000 0.000 0.000
B1 B 0.236 0.500 0.255
H1 H 0.120 0.000 0.637
H2 H 0.202 0.000 0.278
H3 H 0.231 0.500 0.079
# - Crystal system: monoclinic
# - ΔE to the lowest computed polymorph: 0 meV/atom
# - DOS(E_F): 5.973 states/eV/cell
# - Size of the total moment: 0.677 μB per cell

***

# Tb2NdSm7 | the Alexandria database | GGA-PBE | relaxed
data_Tb2NdSm7
_symmetry_space_group_name_H-M 'C m m m'
_symmetry_Int_Tables_number 65
_symmetry_space_group_name_Hall '-C 2 2'
_cell_length_a 8.869
_cell_length_b 16.197
_cell_length_c 5.691
_cell_angle_alpha 90.00
_cell_angle_beta 90.00
_cell_angle_gamma 90.00
loop_
_atom_site_label
_atom_site_type_symbol
_atom_site_fract_x
_atom_site_fract_y
_atom_site_fract_z
Tb1 Tb 0.000 0.204 0.000
Nd1 Nd 0.000 0.500 0.500
Sm1 Sm 0.000 0.000 0.000
Sm2 Sm 0.000 0.276 0.500
Sm3 Sm 0.179 0.385 0.000
# - Crystal system: orthorhombic
# - ΔE to the lowest computed polymorph: 643 meV/atom
# - DOS(E_F): 28.804 states/eV/cell
# - Energy of formation: 0.6562 eV/atom
# - Size of the total moment: 0.000 μB per cell

***

# TaTl2Cu | the Alexandria database | GGA-PBE | relaxed
data_TaTl2Cu
_symmetry_space_group_name_H-M 'R -3 m'
_symmetry_Int_Tables_number 166
_symmetry_space_group_name_Hall '-R 3 2"'
_cell_length_a 3.1558
_cell_length_b 3.1558
_cell_length_c 28.0927
_cell_angle_alpha 90.00
_cell_angle_beta 90.00
_cell_angle_gamma 120.00
loop_
_atom_site_label
_atom_site_type_symbol
_atom_site_fract_x
_atom_site_fract_y
_atom_site_fract_z
Ta1 Ta 0.0000 0.0000 0.0000
Tl1 Tl 0.0000 0.0000 0.2445
Cu1 Cu 0.0000 0.0000 0.5000
# - Crystal system: trigonal
# - ΔE to the lowest computed polymorph: 122 meV/atom
# - DOS(E_F): 15.048 states/eV/cell
# - Energy of formation: 0.5507 eV/atom
# - Size of the total moment: 0.370 μB per cell

***

# TaAl2Zn | the Alexandria database | GGA-PBE | relaxed
data_TaAl2Zn
_symmetry_space_group_name_H-M 'C m m m'
_symmetry_Int_Tables_number 65
_symmetry_space_group_name_Hall '-C 2 2'
_cell_length_a 3.970
_cell_length_b 3.979
_cell_length_c 8.354
_cell_angle_alpha 90.00
_cell_angle_beta 90.00
_cell_angle_gamma 90.00
loop_
_atom_site_label
_atom_site_type_symbol
_atom_site_fract_x
_atom_site_fract_y
_atom_site_fract_z
Ta1 Ta 0.000 0.000 0.000
Al1 Al 0.000 0.500 0.250
Zn1 Zn 0.000 0.000 0.500
# - Crystal system: orthorhombic
# - DOS(E_F): 4.263 states/eV/cell
# - Energy of formation: -0.0508 eV/atom
# - Size of the total moment: 0.000 μB per cell

***

# Ce5CdIn2 | the Alexandria database | GGA-PBE | relaxed
data_Ce5CdIn2
_symmetry_space_group_name_H-M 'I 4/m m m'
_symmetry_Int_Tables_number 139
_symmetry_space_group_name_Hall '-I 4 2'
_cell_length_a 6.813
_cell_length_b 6.813
_cell_length_c 9.405
_cell_angle_alpha 90.00
_cell_angle_beta 90.00
_cell_angle_gamma 90.00
loop_
_atom_site_label
_atom_site_type_symbol
_atom_site_fract_x
_atom_site_fract_y
_atom_site_fract_z
Ce1 Ce 0.000 0.000 0.000
Ce2 Ce 0.250 0.250 0.250
Cd1 Cd 0.000 0.000 0.500
In1 In 0.000 0.500 0.000
# - Crystal system: tetragonal
# - DOS(E_F): 47.544 states/eV/cell
# - Energy of formation: -0.2091 eV/atom
# - Size of the total moment: 9.264 μB per cell

***

# CeEuPb4 | the Alexandria database | GGA-PBE | relaxed
data_CeEuPb4
_symmetry_space_group_name_H-M 'F -4 3 m'
_symmetry_Int_Tables_number 216
_symmetry_space_group_name_Hall 'F -4 2 3'
_cell_length_a 9.234
_cell_length_b 9.234
_cell_length_c 9.234
_cell_angle_alpha 90.00
_cell_angle_beta 90.00
_cell_angle_gamma 90.00
loop_
_atom_site_label
_atom_site_type_symbol
_atom_site_fract_x
_atom_site_fract_y
_atom_site_fract_z
Ce1 Ce 0.000 0.000 0.000
Eu1 Eu 0.250 0.250 0.750
Pb1 Pb 0.125 0.125 0.375
# - Crystal system: cubic
# - DOS(E_F): 44.787 states/eV/cell
# - Energy of formation: -0.2193 eV/atom
# - Size of the total moment: 35.999 μB per cell

***

# Y2AlCo5Si2 | the Alexandria database | GGA-PBE | relaxed
data_Y2AlCo5Si2
_symmetry_space_group_name_H-M 'P 4/m b m'
_symmetry_Int_Tables_number 127
_symmetry_space_group_name_Hall '-P 4 2ab'
_cell_length_a 9.419
_cell_length_b 9.419
_cell_length_c 3.261
_cell_angle_alpha 90.00
_cell_angle_beta 90.00
_cell_angle_gamma 90.00
loop_
_atom_site_label
_atom_site_type_symbol
_atom_site_fract_x
_atom_site_fract_y
_atom_site_fract_z
Y1 Y 0.178 0.322 0.000
Al1 Al 0.000 0.000 0.000
Co1 Co 0.000 0.500 0.500
Co2 Co 0.065 0.784 0.500
Si1 Si 0.120 0.620 0.000
# - Crystal system: tetragonal
# - DOS(E_F): 10.319 states/eV/cell
# - E_form (uncorrected): -4.52 eV/f.u.
# - Size of the total moment: 0.000 μB per cell